The following is a PBE-GGA calculation of crystalline Er2Lu5Te2Pd2 at its relaxed geometry, from OQMD.

Cell and atoms, written as CIF:
```
data_Er2Lu5Te2Pd2
_cell_length_a 3.890
_cell_length_b 15.387
_cell_length_c 9.517
_cell_angle_alpha 90.00
_cell_angle_beta 90.00
_cell_angle_gamma 90.00
_space_group_name_H-M_alt 'I m m 2'
_space_group_IT_number 44
_space_group_name_Hall 'I 2 -2'
loop_
_atom_site_label
_atom_site_type_symbol
_atom_site_fract_x
_atom_site_fract_y
_atom_site_fract_z
Er1 Er 0.000 0.130 0.000
Lu1 Lu 0.000 0.000 0.418
Lu2 Lu 0.000 0.317 0.791
Lu3 Lu 0.000 0.356 0.150
Te1 Te 0.000 0.000 0.754
Te2 Te 0.000 0.500 0.653
Pd1 Pd 0.000 0.234 0.486
```

Results
Crystal system: orthorhombic
Theoretical density in Mg/m³: 9.78
Relative energy among the computed polymorphs in meV/atom: 3